The following is a PBE calculation of a relaxed structure of SiTc3P, from the Alexandria database.

Lattice parameters (Å, degrees): 4.3403 4.3403 4.3403 90.00 90.00 90.00
Space group Pm-3m (No. 221)
Inequivalent atoms, fractional coordinates:
Si 0.0000 0.0000 0.0000 (multiplicity 1)
Tc 0.0000 0.5000 0.5000 (multiplicity 3)
P 0.5000 0.5000 0.5000 (multiplicity 1)

## Properties
- Energy above the lowest structure with this stoichiometry: 0.00 eV per formula unit
- D(E_F): 3.5 states/eV/f.u.
- Spin magnetization: 1.424 μB per cell
- Formation energy without anion corrections: 2.9 eV/f.u.



The following is a PBE calculation of a relaxed structure of SiTcP2, from the Alexandria database.

Lattice parameters (Å, degrees): 5.3902 5.3902 10.2187 90.00 90.00 90.00
Space group I-42d (No. 122)
Inequivalent atoms, fractional coordinates:
Si 0.0000 0.0000 0.0000 (multiplicity 4)
Tc 0.0000 0.0000 0.5000 (multiplicity 4)
P 0.2483 0.2500 0.1250 (multiplicity 8)

## Properties
- D(E_F): 3.3 states/eV/f.u.
- Spin magnetization: 0.000 μB per cell
- Formation energy without anion corrections: -0.1 eV/f.u.



The following is a PBE calculation of a relaxed structure of SiTcP, from the Alexandria database.

Lattice parameters (Å, degrees): 4.0579 4.0579 2.9921 90.00 90.00 120.00
Space group P-6m2 (No. 187)
Inequivalent atoms, fractional coordinates:
Si 0.0000 0.0000 0.0000 (multiplicity 1)
Tc 0.6667 0.3333 0.5000 (multiplicity 1)
P 0.3333 0.6667 0.5000 (multiplicity 1)

## Properties
- Energy above the lowest structure with this stoichiometry: 1.07 eV per formula unit
- D(E_F): 2.8 states/eV/f.u.
- Spin magnetization: 0.000 μB per cell
- Formation energy without anion corrections: 0.2 eV/f.u.



The following is a PBE calculation of a relaxed structure of Si4TcP, from the Alexandria database.

Lattice parameters (Å, degrees): 6.9748 6.9748 6.9748 90.00 90.00 90.00
Space group F-43m (No. 216)
Inequivalent atoms, fractional coordinates:
Si 0.1240 0.1240 0.3760 (multiplicity 16)
Tc 0.0000 0.0000 0.0000 (multiplicity 4)
P 0.2500 0.2500 0.7500 (multiplicity 4)

## Properties
- D(E_F): 4.3 states/eV/f.u.
- Spin magnetization: 0.007 μB per cell
- Formation energy without anion corrections: 3.8 eV/f.u.



The following is a PBE calculation of a relaxed structure of SiTcP2, from the Alexandria database.

Lattice parameters (Å, degrees): 3.7590 4.4428 4.2725 90.00 115.84 90.00
Space group Pm (No. 6)
Inequivalent atoms, fractional coordinates:
Si 0.0000 0.0000 0.0000 (multiplicity 1)
Tc 0.1719 0.5000 0.3451 (multiplicity 1)
P 0.3190 0.0000 0.6344 (multiplicity 1)
P 0.5084 0.5000 0.0153 (multiplicity 1)

## Properties
- D(E_F): 1.7 states/eV/f.u.
- Spin magnetization: 0.000 μB per cell
- Formation energy without anion corrections: -0.5 eV/f.u.



The following is a PBE calculation of a relaxed structure of SiTcP2, from the Alexandria database.

Lattice parameters (Å, degrees): 2.9315 2.9315 6.5538 90.00 90.00 90.00
Space group P4/mmm (No. 123)
Inequivalent atoms, fractional coordinates:
Si 0.0000 0.0000 0.0000 (multiplicity 1)
Tc 0.0000 0.0000 0.5000 (multiplicity 1)
P 0.5000 0.5000 0.2793 (multiplicity 2)

## Properties
- D(E_F): 1.7 states/eV/f.u.
- Spin magnetization: 0.000 μB per cell
- Formation energy without anion corrections: 0.1 eV/f.u.



The following is a PBE calculation of a relaxed structure of SiTcP, from the Alexandria database.

Lattice parameters (Å, degrees): 3.0225 3.0225 5.3264 90.00 90.00 120.00
Space group P3m1 (No. 156)
Inequivalent atoms, fractional coordinates:
Si 0.0000 0.0000 0.0000 (multiplicity 1)
Tc 0.6667 0.3333 0.3398 (multiplicity 1)
P 0.3333 0.6667 0.6508 (multiplicity 1)

## Properties
- Energy above the lowest structure with this stoichiometry: 0.00 eV per formula unit
- D(E_F): 1.4 states/eV/f.u.
- Spin magnetization: 0.000 μB per cell
- Formation energy without anion corrections: -0.8 eV/f.u.



The following is a PBE calculation of a relaxed structure of SiTcP2, from the Alexandria database.

Lattice parameters (Å, degrees): 8.0504 3.0992 4.5806 90.00 95.61 90.00
Space group C2/m (No. 12)
Inequivalent atoms, fractional coordinates:
Si 0.0000 0.0000 0.0000 (multiplicity 2)
Tc 0.0000 0.5000 0.5000 (multiplicity 2)
P 0.2248 0.0000 0.7196 (multiplicity 4)

## Properties
- D(E_F): 2.0 states/eV/f.u.
- Spin magnetization: 0.000 μB per cell
- Formation energy without anion corrections: 0.3 eV/f.u.